The following is a DFT calculation (GGA-PBE) of DySb3Au after structural relaxation.

abc: 13.2889 6.2146 6.1760
angles: 90.00 90.00 90.00
Closest atoms and distances in Å follow each position.
Space group Pbcm (No. 57)
One atom of each set of equivalent atoms:
Dy (0.1812, 0.0171, 0.2500) [4 per cell]  8 Sb 3.14-3.31, 2 Au 3.29
Sb (0.0005, 0.2500, 0.0000) [4 per cell]  4 Sb 3.09-3.11, 4 Dy 3.20-3.31
Sb (0.2443, 0.5306, 0.2500) [4 per cell]  2 Au 2.87, 3 Dy 3.14-3.21, 1 Sb 3.17
Sb (0.4333, 0.6591, 0.7500) [4 per cell]  4 Au 3.08-3.09, 3 Sb 3.17-3.29
Au (0.3711, 0.2500, 0.0000) [4 per cell]  6 Sb 2.87-3.09, 2 Au 3.09

Values from the calculation:
crystal system	orthorhombic
raw formation energy	-0.41	eV/atom



The following is a DFT calculation (GGA-PBE) of DySbAu after structural relaxation.

abc: 4.5226 4.5226 4.2331
angles: 90.00 90.00 120.00
Closest atoms and distances in Å follow each position.
Space group P3m1 (No. 156)
One atom of each set of equivalent atoms:
Dy (0.0000, 0.0000, 0.0000) [1 per cell]  3 Au 3.00, 3 Sb 3.22
Sb (0.6667, 0.3333, 0.4465) [1 per cell]  3 Au 2.75
Au (0.3333, 0.6667, 0.6526) [1 per cell]  3 Sb 2.75, 3 Dy 3.00

Values from the calculation:
crystal system	trigonal
raw formation energy	-0.77	eV/atom



The following is a DFT calculation (GGA-PBE) of SrDySb2Au2 after structural relaxation.

abc: 4.6864 4.6864 8.4250
angles: 90.00 90.00 120.00
Closest atoms and distances in Å follow each position.
Space group P-3m1 (No. 164)
One atom of each set of equivalent atoms:
Sr (0.0000, 0.0000, 0.0000) [1 per cell]  6 Sb 3.44, 6 Au 3.77
Dy (0.0000, 0.0000, 0.5000) [1 per cell]  6 Au 3.14, 6 Sb 3.42
Sb (0.3333, 0.6667, 0.7483) [2 per cell]  3 Au 2.75
Au (0.3333, 0.6667, 0.3110) [2 per cell]  3 Sb 2.75

Values from the calculation:
crystal system	trigonal
raw formation energy	-0.82	eV/atom



The following is a DFT calculation (GGA-PBE) of Dy2ScAu2 after structural relaxation.

abc: 8.0605 8.0605 3.7194
angles: 90.00 90.00 90.00
Closest atoms and distances in Å follow each position.
Space group P4/mbm (No. 127)
One atom of each set of equivalent atoms:
Dy (0.1655, 0.3345, 0.0000) [4 per cell]  6 Au 2.94-3.06
Sc (0.0000, 0.0000, 0.5000) [2 per cell]  4 Au 3.14
Au (0.1344, 0.6344, 0.5000) [4 per cell]  6 Dy 2.94-3.06, 1 Au 3.06, 2 Sc 3.14

Values from the calculation:
crystal system	tetragonal
formation energy	-3.4	eV per formula unit



The following is a DFT calculation (GGA-PBE) of Dy2ScAu6 after structural relaxation.

abc: 5.1934 15.9351 5.1873
angles: 90.00 119.78 90.00
Closest atoms and distances in Å follow each position.
Space group C2/m (No. 12)
One atom of each set of equivalent atoms:
Dy (0.0000, 0.1646, 0.0000) [4 per cell]  10 Au 2.99-3.14
Sc (0.0000, 0.5000, 0.5000) [2 per cell]  10 Au 2.97-3.03
Au (0.1581, 0.0000, 0.8278) [4 per cell]  5 Au 2.95-3.08, 3 Sc 2.97-3.03, 2 Dy 3.01
Au (0.1629, 0.3376, 0.3349) [8 per cell]  5 Au 2.95-3.16, 1 Sc 2.98, 4 Dy 2.99-3.14

Values from the calculation:
crystal system	monoclinic
formation energy	-6.9	eV per formula unit



The following is a DFT calculation (GGA-PBE) of DyScAu2 after structural relaxation.

abc: 3.4792 3.4792 7.0819
angles: 90.00 90.00 90.00
Closest atoms and distances in Å follow each position.
Space group P4/mmm (No. 123)
One atom of each set of equivalent atoms:
Dy (0.0000, 0.0000, 0.0000) [1 per cell]  8 Au 3.13, 4 Dy 3.48
Sc (0.0000, 0.0000, 0.5000) [1 per cell]  8 Au 2.94
Au (0.5000, 0.5000, 0.2731) [2 per cell]  4 Sc 2.94, 4 Dy 3.13, 1 Au 3.21

Values from the calculation:
crystal system	tetragonal
formation energy	-3.3	eV per formula unit



The following is a DFT calculation (GGA-PBE) of Dy2ScAu4 after structural relaxation.

abc: 4.8776 4.8776 24.4407
angles: 90.00 90.00 120.00
Closest atoms and distances in Å follow each position.
Space group R-3m (No. 166, hexagonal axes)
One atom of each set of equivalent atoms:
Dy (0.0000, 0.0000, 0.2422) [6 per cell]  8 Au 2.90-3.20
Sc (0.0000, 0.0000, 0.0000) [3 per cell]  8 Au 2.91-2.92
Au (0.0000, 0.0000, 0.1194) [6 per cell]  4 Dy 2.90-3.00, 1 Sc 2.92
Au (0.0000, 0.0000, 0.3626) [6 per cell]  3 Sc 2.91, 4 Dy 2.94-3.20, 3 Au 3.16

Values from the calculation:
crystal system	trigonal
formation energy	-5.0	eV per formula unit



The following is a DFT calculation (GGA-PBE) of Dy4ScAu5 after structural relaxation.

abc: 3.5328 3.5328 18.0712
angles: 90.00 90.00 90.00
Closest atoms and distances in Å follow each position.
Space group P4/mmm (No. 123)
One atom of each set of equivalent atoms:
Dy (0.0000, 0.0000, 0.1021) [2 per cell]  8 Au 3.11
Dy (0.0000, 0.0000, 0.3061) [2 per cell]  8 Au 3.10-3.14
Sc (0.0000, 0.0000, 0.5000) [1 per cell]  8 Au 2.97
Au (0.5000, 0.5000, 0.0000) [1 per cell]  8 Dy 3.11
Au (0.5000, 0.5000, 0.2042) [2 per cell]  8 Dy 3.10-3.11
Au (0.5000, 0.5000, 0.4113) [2 per cell]  4 Sc 2.97, 4 Dy 3.14, 1 Au 3.20

Values from the calculation:
crystal system	tetragonal
formation energy	-8.5	eV per formula unit



| no. | magnetization (μB/f.u.) |
| --- | --- |
| 1 | 0.00 |
| 2 | 0.00 |
| 3 | 0.00 |
| 4 | 0.00 |
| 5 | 0.00 |
| 6 | 0.00 |
| 7 | 0.00 |
| 8 | 0.00 |